Material: NaGe2BiS6
Method: DFT, PBE
State: optimized geometry

Space-group type   C2/c
Raw formation energy   -0.4330 eV/atom
Raw total energy   -4.353 eV per atom
Mass density   3.87 Mg/m³

Lattice parameters (Å, degrees): 6.9894 8.5933 8.5933 82.46 77.02 77.02
With the nearest neighbours (Å) after each atom.
Positions (direct):
S (0.3723, 0.9161, 0.3795)  1 Ge 2.18
S (0.4721, 0.4071, 0.3257)  2 Ge 2.31-2.33
S (0.6547, 0.8004, 0.9841)  1 Ge 2.23
S (0.3453, 0.1996, 0.0159)  1 Ge 2.23
S (0.1277, 0.6205, 0.0839)  1 Ge 2.18
S (0.9721, 0.3257, 0.4071)  2 Ge 2.31-2.33
S (0.8453, 0.0159, 0.1996)  1 Ge 2.23
S (0.8723, 0.3795, 0.9161)  1 Ge 2.18
S (0.6277, 0.0839, 0.6205)  1 Ge 2.18
S (0.0279, 0.6743, 0.5929)  2 Ge 2.31-2.33
S (0.1547, 0.9841, 0.8004)  1 Ge 2.23
S (0.5279, 0.5929, 0.6743)  2 Ge 2.31-2.33
Ge (0.7239, 0.1950, 0.3810)  4 S 2.18-2.33
Ge (0.2239, 0.3810, 0.1950)  4 S 2.18-2.33
Ge (0.7761, 0.6190, 0.8050)  4 S 2.18-2.33
Ge (0.2761, 0.8050, 0.6190)  4 S 2.18-2.33
Na (0.7500, 0.1076, 0.8924)  6 S 2.71-2.84
Na (0.2500, 0.8924, 0.1076)  6 S 2.71-2.84
Bi (0.7500, 0.7245, 0.2755)  4 S 2.70-2.80
Bi (0.2500, 0.2755, 0.7245)  4 S 2.70-2.80

***

Material: NaGeBi2S
Method: DFT, PBE
State: optimized geometry

Space-group type   P4/mmm
Raw formation energy   0.4749 eV/atom
Raw total energy   -3.090 eV per atom
Mass density   5.64 Mg/m³

Lattice parameters (Å, degrees): 5.4626 5.3817 5.4626 90.00 90.00 90.00
With the nearest neighbours (Å) after each atom.
Positions (direct):
Ge (0.0000, 0.0000, 0.0000)  2 Na 2.69, 4 Bi 2.73
Bi (0.5000, 0.0000, 0.0000)  2 Ge 2.73
Bi (0.0000, 0.0000, 0.5000)  2 Ge 2.73
S (0.5000, 0.5000, 0.5000)  8 Bi 3.83, 4 Na 3.86
Na (0.0000, 0.5000, 0.0000)  2 Ge 2.69

***

Material: Na3GeBi3S8
Method: DFT, PBE
State: optimized geometry

Space-group type   R-3m
Raw formation energy   -0.6141 eV/atom
Raw total energy   -4.163 eV per atom
Mass density   4.52 Mg/m³

Lattice parameters (Å, degrees): 7.9538 7.9568 8.2654 118.81 90.00 120.00
With the nearest neighbours (Å) after each atom.
Positions (direct):
Bi (0.5000, 0.5000, 0.5000)  6 S 2.82-2.86
Bi (0.5000, 0.0000, 0.5000)  6 S 2.82-2.86
Bi (0.0000, 0.5000, 0.5000)  6 S 2.82-2.86
Na (0.0000, 0.0000, 0.0000)  6 S 2.91-2.93
Na (0.0000, 0.5000, 0.0000)  6 S 2.91-2.93
Na (0.5000, 0.5000, 0.0000)  6 S 2.91-2.93
Ge (0.0000, 0.0000, 0.5000)  6 S 2.47
S (0.2157, 0.9961, 0.7116)  1 Ge 2.47
S (0.2535, 0.5071, 0.2607)  3 Bi 2.82, 3 Na 2.91
S (0.7804, 0.9961, 0.7116)  1 Ge 2.47
S (0.7465, 0.4929, 0.7393)  3 Bi 2.82, 3 Na 2.91
S (0.2157, 0.4313, 0.7116)  1 Ge 2.47
S (0.7843, 0.5687, 0.2884)  1 Ge 2.47
S (0.7843, 0.0039, 0.2884)  1 Ge 2.47
S (0.2196, 0.0039, 0.2884)  1 Ge 2.47

***

Material: NaGeBiSe3
Method: DFT, PBE
State: optimized geometry

Space-group type   P2_1/m
Raw formation energy   -0.5337 eV/atom
Raw total energy   -3.912 eV per atom
Mass density   5.05 Mg/m³

Lattice parameters (Å, degrees): 4.0464 7.6117 12.2962 109.92 90.00 90.00
With the nearest neighbours (Å) after each atom.
Positions (direct):
Se (0.7500, 0.9363, 0.2542)  1 Ge 2.52
Se (0.7500, 0.3837, 0.6131)  2 Ge 2.65, 1 Bi 2.91
Se (0.2500, 0.6597, 0.9139)  3 Bi 2.91-3.02, 2 Na 3.09
Se (0.2500, 0.0637, 0.7458)  1 Ge 2.52
Se (0.7500, 0.3403, 0.0861)  3 Bi 2.91-3.02, 2 Na 3.09
Se (0.2500, 0.6163, 0.3869)  2 Ge 2.65, 1 Bi 2.91
Bi (0.2500, 0.6327, 0.1535)  6 Se 2.91-3.02
Bi (0.7500, 0.3673, 0.8465)  6 Se 2.91-3.02
Na (0.2500, 0.2085, 0.2320)  5 Se 2.97-3.09
Na (0.7500, 0.7915, 0.7680)  5 Se 2.97-3.09
Ge (0.7500, 0.8564, 0.4372)  3 Se 2.52-2.65
Ge (0.2500, 0.1436, 0.5628)  3 Se 2.52-2.65

***

Material: Na3GeBi3Se8
Method: DFT, PBE
State: optimized geometry

Space-group type   C2/m
Raw formation energy   -0.5923 eV/atom
Raw total energy   -3.798 eV per atom
Mass density   5.43 Mg/m³

Lattice parameters (Å, degrees): 8.2828 8.2839 8.6566 118.63 90.00 120.00
With the nearest neighbours (Å) after each atom.
Positions (direct):
Se (0.2533, 0.5066, 0.2602)  3 Bi 2.95, 3 Na 3.04
Se (0.7807, 0.5614, 0.2844)  1 Ge 2.62
Se (0.7467, 0.4934, 0.7398)  3 Bi 2.95, 3 Na 3.04
Se (0.2193, 0.4386, 0.7156)  1 Ge 2.62
Se (0.2227, 0.0034, 0.2845)  1 Ge 2.62
Se (0.7773, 0.9966, 0.7155)  1 Ge 2.62
Se (0.7807, 0.0034, 0.2845)  1 Ge 2.62
Se (0.2193, 0.9966, 0.7155)  1 Ge 2.62
Bi (0.5000, 0.0000, 0.5000)  6 Se 2.95-2.98
Bi (0.5000, 0.5000, 0.5000)  6 Se 2.95-2.98
Bi (0.0000, 0.5000, 0.5000)  6 Se 2.95-2.98
Na (0.0000, 0.5000, 0.0000)  6 Se 3.04-3.06
Na (0.0000, 0.0000, 0.0000)  6 Se 3.04-3.06
Na (0.5000, 0.5000, 0.0000)  6 Se 3.04-3.06
Ge (0.0000, 0.0000, 0.5000)  6 Se 2.62

***

Material: NaGeBiTe3
Method: DFT, PBE
State: optimized geometry

Space-group type   P2_1/m
Raw formation energy   -0.2850 eV/atom
Raw total energy   -3.492 eV per atom
Mass density   5.20 Mg/m³

Lattice parameters (Å, degrees): 4.5361 9.3191 10.6288 102.16 90.00 90.00
With the nearest neighbours (Å) after each atom.
Positions (direct):
Bi (0.2500, 0.6750, 0.1102)  3 Te 2.93-3.11
Bi (0.7500, 0.3250, 0.8898)  3 Te 2.93-3.11
Te (0.2500, 0.8111, 0.5318)  3 Ge 2.75-2.92
Te (0.7500, 0.4402, 0.1681)  1 Bi 2.93
Te (0.2500, 0.0990, 0.8998)  1 Ge 3.06, 2 Bi 3.11, 1 Na 3.31
Te (0.2500, 0.5598, 0.8319)  1 Bi 2.93
Te (0.7500, 0.1889, 0.4682)  3 Ge 2.75-2.92
Te (0.7500, 0.9010, 0.1002)  1 Ge 3.06, 2 Bi 3.11, 1 Na 3.31
Na (0.7500, 0.8096, 0.7821)  7 Te 3.31-3.54
Na (0.2500, 0.1904, 0.2179)  7 Te 3.31-3.54
Ge (0.7500, 0.8888, 0.3858)  4 Te 2.75-3.06
Ge (0.2500, 0.1112, 0.6142)  4 Te 2.75-3.06

***

Material: Na3GeBi3Te8
Method: DFT, PBE
State: optimized geometry

Space-group type   C2/m
Raw formation energy   -0.3801 eV/atom
Raw total energy   -3.403 eV per atom
Mass density   5.69 Mg/m³

Lattice parameters (Å, degrees): 8.7884 8.7900 9.3138 118.21 90.00 119.99
With the nearest neighbours (Å) after each atom.
Positions (direct):
Te (0.2301, 0.0049, 0.2802)  1 Ge 2.88, 2 Bi 3.16
Te (0.2252, 0.4504, 0.7201)  1 Ge 2.88, 2 Bi 3.16
Te (0.2539, 0.5079, 0.2621)  3 Bi 3.14, 3 Na 3.26
Te (0.7748, 0.5496, 0.2799)  1 Ge 2.88, 2 Bi 3.16
Te (0.7699, 0.9951, 0.7198)  1 Ge 2.88, 2 Bi 3.16
Te (0.2252, 0.9951, 0.7198)  1 Ge 2.88, 2 Bi 3.16
Te (0.7748, 0.0049, 0.2802)  1 Ge 2.88, 2 Bi 3.16
Te (0.7461, 0.4921, 0.7379)  3 Bi 3.14, 3 Na 3.26
Bi (0.5000, 0.5000, 0.5000)  6 Te 3.14-3.16
Bi (0.5000, 0.0000, 0.5000)  6 Te 3.14-3.16
Bi (0.0000, 0.5000, 0.5000)  6 Te 3.14-3.16
Na (0.5000, 0.5000, 0.0000)  6 Te 3.26-3.27
Na (0.0000, 0.5000, 0.0000)  6 Te 3.26-3.27
Na (0.0000, 0.0000, 0.0000)  6 Te 3.26-3.27
Ge (0.0000, 0.0000, 0.5000)  6 Te 2.88

***

Material: NaTlGeBi
Method: DFT, PBE
State: optimized geometry

Space-group type   F-43m
Raw total energy   -3.017 eV per atom
ΔE_f   0.03 eV/atom
Mass density   7.82 Mg/m³

Lattice parameters (Å, degrees): 5.3476 5.3476 5.3476 60.00 60.00 60.00
With the nearest neighbours (Å) after each atom.
Positions (direct):
Bi (0.0000, 0.0000, 0.0000)  4 Na 3.27, 4 Ge 3.27
Ge (0.2500, 0.2500, 0.2500)  4 Tl 3.27, 4 Bi 3.27
Tl (0.5000, 0.5000, 0.5000)  4 Ge 3.27, 4 Na 3.27
Na (0.7500, 0.7500, 0.7500)  4 Tl 3.27, 4 Bi 3.27

***

Material: Nb2GeBi
Method: DFT, PBE
State: optimized geometry

Space-group type   I-42d
Raw total energy   -6.728 eV per atom
ΔE_f   0.43 eV/atom
Mass density   9.00 Mg/m³

Lattice parameters (Å, degrees): 4.1652 4.1652 10.3707 78.42 78.42 90.00
With the nearest neighbours (Å) after each atom.
Positions (direct):
Bi (0.7500, 0.2500, 0.5000)  4 Nb 2.93, 4 Ge 2.95
Bi (0.0000, 0.0000, 0.0000)  4 Nb 2.93, 4 Ge 2.95
Nb (0.1516, 0.6250, 0.2500)  4 Nb 2.79-3.11, 2 Ge 2.85, 2 Bi 2.93
Nb (0.3750, 0.4016, 0.7500)  4 Nb 2.79-3.11, 2 Ge 2.85, 2 Bi 2.93
Nb (0.8750, 0.8484, 0.7500)  4 Nb 2.79-3.11, 2 Ge 2.85, 2 Bi 2.93
Nb (0.5984, 0.1250, 0.2500)  4 Nb 2.79-3.11, 2 Ge 2.85, 2 Bi 2.93
Ge (0.2500, 0.7500, 0.5000)  4 Nb 2.85, 4 Bi 2.95
Ge (0.5000, 0.5000, 0.0000)  4 Nb 2.85, 4 Bi 2.95

***

Material: Nb2Ge2Bi
Method: DFT, PBE
State: optimized geometry

Space-group type   P4/mbm
Raw total energy   -6.577 eV per atom
ΔE_f   0.07 eV/atom
Mass density   9.28 Mg/m³

Lattice parameters (Å, degrees): 7.4642 7.4642 3.4707 90.00 90.00 90.00
With the nearest neighbours (Å) after each atom.
Positions (direct):
Ge (0.3725, 0.8725, 0.0000)  1 Ge 2.69, 6 Nb 2.77-2.84, 2 Bi 2.94
Ge (0.6275, 0.1275, 0.0000)  1 Ge 2.69, 6 Nb 2.77-2.84, 2 Bi 2.94
Ge (0.1275, 0.3725, 0.0000)  1 Ge 2.69, 6 Nb 2.77-2.84, 2 Bi 2.94
Ge (0.8725, 0.6275, 0.0000)  1 Ge 2.69, 6 Nb 2.77-2.84, 2 Bi 2.94
Bi (0.5000, 0.5000, 0.0000)  4 Ge 2.94
Bi (0.0000, 0.0000, 0.0000)  4 Ge 2.94
Nb (0.1599, 0.6599, 0.5000)  6 Ge 2.77-2.84
Nb (0.8401, 0.3401, 0.5000)  6 Ge 2.77-2.84
Nb (0.3401, 0.1599, 0.5000)  6 Ge 2.77-2.84
Nb (0.6599, 0.8401, 0.5000)  6 Ge 2.77-2.84

***

Material: Nb2Ge2Bi
Method: DFT, PBE
State: optimized geometry

Space-group type   P4/mbm
Raw total energy   -6.670 eV per atom
ΔE_f   -0.02 eV/atom
Mass density   9.14 Mg/m³

Lattice parameters (Å, degrees): 7.5445 7.5445 3.4463 90.00 90.00 90.00
With the nearest neighbours (Å) after each atom.
Positions (direct):
Bi (0.0000, 0.0000, 0.0000)  4 Nb 2.87
Bi (0.5000, 0.5000, 0.0000)  4 Nb 2.87
Nb (0.3493, 0.8493, 0.0000)  6 Ge 2.77-2.86, 2 Bi 2.87
Nb (0.8493, 0.6507, 0.0000)  6 Ge 2.77-2.86, 2 Bi 2.87
Nb (0.1507, 0.3493, 0.0000)  6 Ge 2.77-2.86, 2 Bi 2.87
Nb (0.6507, 0.1507, 0.0000)  6 Ge 2.77-2.86, 2 Bi 2.87
Ge (0.1356, 0.6356, 0.5000)  6 Nb 2.77-2.86, 1 Ge 2.89
Ge (0.6356, 0.8644, 0.5000)  6 Nb 2.77-2.86, 1 Ge 2.89
Ge (0.3644, 0.1356, 0.5000)  6 Nb 2.77-2.86, 1 Ge 2.89
Ge (0.8644, 0.3644, 0.5000)  6 Nb 2.77-2.86, 1 Ge 2.89

***

Material: Nb2GeBi
Method: DFT, PBE
State: optimized geometry

Space-group type   Fm-3m
Raw total energy   -6.995 eV per atom
ΔE_f   0.16 eV/atom
Mass density   10.02 Mg/m³

Lattice parameters (Å, degrees): 4.7851 4.7851 4.7851 60.00 60.00 60.00
With the nearest neighbours (Å) after each atom.
Positions (direct):
Nb (0.2500, 0.2500, 0.2500)  4 Bi 2.93, 4 Ge 2.93
Nb (0.7500, 0.7500, 0.7500)  4 Ge 2.93, 4 Bi 2.93
Ge (0.0000, 0.0000, 0.0000)  8 Nb 2.93
Bi (0.5000, 0.5000, 0.5000)  8 Nb 2.93

***

Q: Which value of mass density does entry 2 give?
A: 5.64 Mg/m³